The following is a DFT calculation (GGA+U) of a relaxed structure of Mg6AlFeO8.

Cell: 4.2475 4.2475 8.5847 Å, 90.00 90.00 90.00°
Sites, in units of the cell vectors:
O  0.0000  0.0000  0.7887
O  0.5000  0.5000  0.2490
O  0.5000  0.0000  0.0000
O  0.0000  0.5000  0.5000
O  0.5000  0.5000  0.7510
O  0.0000  0.5000  0.0000
O  0.0000  0.0000  0.2113
O  0.5000  0.0000  0.5000
Fe  0.0000  0.0000  0.5000
Mg  0.5000  0.0000  0.7418
Mg  0.0000  0.5000  0.7418
Mg  0.0000  0.5000  0.2582
Mg  0.5000  0.0000  0.2582
Mg  0.5000  0.5000  0.0000
Mg  0.5000  0.5000  0.5000
Al  0.0000  0.0000  0.0000

Computed properties:
E above lowest polymorph in eV/f.u.: 0.00
N(E_F) in states/eV/cell: 2.4
Theoretical density in g cm⁻³: 3.82